# Pb2SCl (PBE, relaxed)
# - energy relative to the elements, uncorrected (kJ/mol of formula units) = -167.5
# - polymorph energy (0 for the lowest one) (kcal/mol of atoms) = 3.21
data_Pb2SCl
_chemical_formula_sum 'Pb8 S4 Cl4'
_symmetry_space_group_name_H-M 'F m -3 m'
_symmetry_Int_Tables_number 225
_symmetry_space_group_name_Hall '-F 4 2 3'
_cell_length_a 7.3621
_cell_length_b 7.3621
_cell_length_c 7.3621
_cell_angle_alpha 90.00
_cell_angle_beta 90.00
_cell_angle_gamma 90.00
loop_
_atom_site_label
_atom_site_type_symbol
_atom_site_fract_x
_atom_site_fract_y
_atom_site_fract_z
Pb1 Pb 0.2500 0.2500 0.2500
S1 S 0.0000 0.0000 0.0000
Cl1 Cl 0.0000 0.0000 0.5000

# PbS3Cl3 (PBE, relaxed)
# - energy relative to the elements, uncorrected (kJ/mol of formula units) = -225.8
data_PbS3Cl3
_chemical_formula_sum 'Pb6 S18 Cl18'
_symmetry_space_group_name_H-M 'R -3'
_symmetry_Int_Tables_number 148
_symmetry_space_group_name_Hall '-R 3'
_cell_length_a 8.1127
_cell_length_b 8.1127
_cell_length_c 21.1111
_cell_angle_alpha 90.00
_cell_angle_beta 90.00
_cell_angle_gamma 120.00
loop_
_atom_site_label
_atom_site_type_symbol
_atom_site_fract_x
_atom_site_fract_y
_atom_site_fract_z
Pb1 Pb 0.0000 0.0000 0.1612
S1 S 0.0729 0.1707 0.4243
Cl1 Cl 0.0079 0.5397 0.4164

Question: Which value of energy relative to the elements, uncorrected does entry 2 give?
Answer: -225.8 kJ/mol of formula units

Question: Which formula does entry 1 have?
Answer: Pb2SCl

Question: Which value of energy relative to the elements, uncorrected does entry 1 give?
Answer: -167.5 kJ/mol of formula units

Repeat the second record exactly.
# PbS3Cl3 (PBE, relaxed)
# - energy relative to the elements, uncorrected (kJ/mol of formula units) = -225.8
data_PbS3Cl3
_chemical_formula_sum 'Pb6 S18 Cl18'
_symmetry_space_group_name_H-M 'R -3'
_symmetry_Int_Tables_number 148
_symmetry_space_group_name_Hall '-R 3'
_cell_length_a 8.1127
_cell_length_b 8.1127
_cell_length_c 21.1111
_cell_angle_alpha 90.00
_cell_angle_beta 90.00
_cell_angle_gamma 120.00
loop_
_atom_site_label
_atom_site_type_symbol
_atom_site_fract_x
_atom_site_fract_y
_atom_site_fract_z
Pb1 Pb 0.0000 0.0000 0.1612
S1 S 0.0729 0.1707 0.4243
Cl1 Cl 0.0079 0.5397 0.4164